An optimized crystal structure of Al2CdMo. Source: OQMD, functional PBE-GGA.

The structure in extended XYZ format:
```
4
Lattice="4.248 -0.528 -1.583 2.758 -3.122 1.864 1.112 -3.754 -2.345" Properties=species:S:1:pos:R:3 pbc="T T T"
Al 0.000 0.000 0.000
Mo 6.088 -5.553 -1.548
Al 2.029 -1.851 -0.516
Cd 4.059 -3.702 -1.032
```

- Energy: -17.6 eV/cell
- Calculated density: 6.48 Mg/m³
- Size of the total moment: 0.00 μB per cell
- Space-group type: F-43m
- Crystal system: cubic

=====

An optimized crystal structure of YPdPb. Source: OQMD, functional PBE-GGA.

The structure in extended XYZ format:
```
9
Lattice="8.402 0.000 0.000 -4.201 7.277 0.000 0.000 0.000 3.480" Properties=species:S:1:pos:R:3 pbc="T T T"
Y 2.501 0.000 0.000
Pd 5.392 0.000 1.740
Pb 0.000 0.000 1.740
Pd -2.696 4.670 1.740
Pd 1.505 2.607 1.740
Pb 4.201 2.426 0.000
Y 2.951 5.111 0.000
Y -1.251 2.166 0.000
Pb 0.000 4.851 0.000
```

- Energy: -49.5 eV/cell
- Calculated density: 9.42 Mg/m³
- Size of the total moment: 0.07 μB per cell
- Space-group type: P-62m
- Crystal system: hexagonal

=====

An optimized crystal structure of HoInSbTe3. Source: OQMD, functional PBE-GGA.

The structure in extended XYZ format:
```
12
Lattice="2.144 -7.384 0.000 2.144 7.384 0.000 0.000 0.000 12.312" Properties=species:S:1:pos:R:3 pbc="T T T"
Te 2.144 -6.852 3.078
In 2.144 2.804 3.078
In 2.144 -2.804 9.234
Te 2.144 -2.155 0.076
Te 2.144 2.155 12.236
Sb 2.144 -2.262 3.078
Te 2.144 6.852 9.234
Te 2.144 2.155 6.232
Ho 0.000 0.000 0.000
Sb 2.144 2.262 9.234
Ho 0.000 0.000 6.156
Te 2.144 -2.155 6.080
```

- Energy: -48.3 eV/cell
- Calculated density: 6.68 Mg/m³
- Size of the total moment: 0.01 μB per cell
- Space-group type: Cmcm
- Crystal system: orthorhombic

=====

An optimized crystal structure of HfCdCuB. Source: OQMD, functional PBE-GGA.

The structure in extended XYZ format:
```
4
Lattice="-3.711 -1.954 1.492 -1.143 0.372 4.286 -3.509 2.481 1.160" Properties=species:S:1:pos:R:3 pbc="T T T"
Cd -2.091 0.225 1.735
Hf -4.181 0.450 3.469
Cu -6.272 0.674 5.204
B 0.000 0.000 0.000
```

- Energy: -17.9 eV/cell
- Calculated density: 9.72 Mg/m³
- Size of the total moment: 0.00 μB per cell
- Space-group type: F-43m
- Crystal system: cubic
- Energy relative to the lowest polymorph listed for this composition: 278 meV per atom

=====

An optimized crystal structure of GaSiPd. Source: OQMD, functional PBE-GGA.

The structure in extended XYZ format:
```
3
Lattice="0.000 2.948 2.948 2.948 0.000 2.948 2.948 2.948 0.000" Properties=species:S:1:pos:R:3 pbc="T T T"
Pd 1.474 1.474 1.474
Si 0.000 0.000 0.000
Ga 2.948 2.948 2.948
```

- Energy: -14.6 eV/cell
- Calculated density: 6.62 Mg/m³
- Space-group type: F-43m
- Crystal system: cubic
- Energy relative to the lowest polymorph listed for this composition: 0 meV per atom

=====

An optimized crystal structure of GeOs2Pd. Source: OQMD, functional PBE-GGA.

The structure in extended XYZ format:
```
4
Lattice="0.000 3.105 3.105 3.105 0.000 3.105 3.105 3.105 0.000" Properties=species:S:1:pos:R:3 pbc="T T T"
Os 4.657 4.657 4.657
Os 0.000 0.000 0.000
Pd 1.552 1.552 1.552
Ge 3.105 3.105 3.105
```

- Energy: -30.3 eV/cell
- Calculated density: 15.52 Mg/m³
- Size of the total moment: 0.01 μB per cell
- Space-group type: F-43m
- Crystal system: cubic

=====

An optimized crystal structure of Er2HfIn3Ir2. Source: OQMD, functional PBE-GGA.

The structure in extended XYZ format:
```
8
Lattice="-0.440 -2.508 2.324 4.381 -4.624 -4.159 3.209 4.377 5.331" Properties=species:S:1:pos:R:3 pbc="T T T"
Er 6.017 -3.339 0.094
Ir 3.942 -1.538 -0.912
Ir 3.574 1.293 2.072
In 1.038 -1.062 -0.949
In 5.812 -0.189 0.897
Hf 3.023 -1.360 1.663
Er 5.525 0.440 4.079
In 0.770 1.003 1.228
```

- Energy: -50.1 eV/cell
- Calculated density: 11.86 Mg/m³
- Size of the total moment: 0.01 μB per cell
- Space-group type: Amm2
- Crystal system: orthorhombic

=====

An optimized crystal structure of U2W. Source: OQMD, functional PBE-GGA.

The structure in extended XYZ format:
```
6
Lattice="-7.250 0.669 -4.117 -6.677 -4.341 2.556 -6.464 3.963 3.531" Properties=species:S:1:pos:R:3 pbc="T T T"
W -5.098 0.073 0.493
U -10.985 -2.061 2.017
U -10.879 2.091 2.504
U -7.647 0.109 0.739
U -11.272 0.444 -1.320
W -10.195 0.146 0.985
```

- Energy: -54.7 eV/cell
- Calculated density: 5.30 Mg/m³
- Size of the total moment: 7.95 μB per cell
- Space-group type: Fd-3m
- Crystal system: cubic

=====

An optimized crystal structure of ZnGe. Source: OQMD, functional PBE-GGA.

The structure in extended XYZ format:
```
16
Lattice="-0.633 -4.853 1.038 10.343 -0.243 5.176 -2.096 1.181 4.243" Properties=species:S:1:pos:R:3 pbc="T T T"
Ge 2.294 -3.493 4.909
Zn 3.479 -2.475 2.407
Zn 6.503 -1.174 6.342
Ge 9.060 -1.304 7.642
Ge -0.610 -4.819 1.040
Ge 4.523 -4.939 3.609
Zn 1.070 -2.418 1.202
Zn 1.333 -1.036 3.751
Zn 2.581 -0.096 1.302
Zn 7.381 -3.705 7.480
Ge -0.261 -3.433 3.630
Ge 3.927 -1.184 5.073
Ge 8.711 -2.690 5.051
Zn 4.972 -3.648 6.275
Zn 7.751 -0.233 3.893
Ge 6.156 -2.630 3.773
```

- Energy: -43.5 eV/cell
- Calculated density: 6.50 Mg/m³
- Space-group type: Pmmn
- Crystal system: orthorhombic

=====

An optimized crystal structure of Li2PdAu. Source: OQMD, functional PBE-GGA.

The structure in extended XYZ format:
```
24
Lattice="-1.613 3.734 -1.420 -5.443 -2.461 -0.290 -2.296 3.643 12.181" Properties=species:S:1:pos:R:3 pbc="T T T"
Li -2.167 1.251 -0.783
Au -1.189 2.474 1.320
Au -5.865 4.931 6.556
Pd -5.441 3.671 9.296
Pd -3.143 6.162 6.701
Li -5.230 -0.025 5.873
Au -1.954 3.688 5.380
Pd -0.765 1.215 4.060
Li -6.419 2.449 7.193
Li -4.889 0.021 -0.928
Li -7.608 4.923 8.514
Li -4.465 -1.238 1.812
Li -1.744 -0.008 1.957
Pd -4.676 2.457 5.236
Li -3.697 3.679 7.338
Li -2.933 2.466 3.278
Li -2.509 1.206 6.018
Pd -3.911 1.244 1.175
Au -2.722 -1.231 -0.145
Li -5.654 1.235 3.133
Au -2.719 4.902 9.441
Pd 0.000 0.000 0.000
Li -4.887 6.153 8.659
Au -3.487 -0.016 3.915
```

- Energy: -85.8 eV/cell
- Calculated density: 9.50 Mg/m³
- Space-group type: I4/mmm
- Crystal system: tetragonal
- Energy relative to the lowest polymorph listed for this composition: 11 meV per atom

=====

An optimized crystal structure of ZnAs2Pd. Source: OQMD, functional PBE-GGA.

The structure in extended XYZ format:
```
8
Lattice="5.610 -4.099 0.564 -0.443 -3.865 5.784 -4.469 1.119 -5.231" Properties=species:S:1:pos:R:3 pbc="T T T"
Zn -1.164 -3.364 1.864
As 0.328 -3.887 -2.575
Pd 0.000 0.000 0.000
As -1.601 -0.403 -1.770
Pd 1.862 -3.481 -0.747
As 1.007 -4.451 1.300
Zn 2.583 -3.982 3.174
As 1.661 -4.949 5.279
```

- Energy: -31.3 eV/cell
- Calculated density: 5.85 Mg/m³
- Space-group type: I-42d
- Crystal system: tetragonal

=====

An optimized crystal structure of PmCdAg. Source: OQMD, functional PBE-GGA.

The structure in extended XYZ format:
```
3
Lattice="0.000 3.534 3.534 3.534 0.000 3.534 3.534 3.534 0.000" Properties=species:S:1:pos:R:3 pbc="T T T"
Pm 0.000 0.000 0.000
Ag 1.767 1.767 1.767
Cd 5.301 5.301 5.301
```

- Energy: -8.0 eV/cell
- Calculated density: 6.87 Mg/m³
- Size of the total moment: 0.01 μB per cell
- Space-group type: F-43m
- Crystal system: cubic
- Energy relative to the lowest polymorph listed for this composition: 470 meV per atom

=====

An optimized crystal structure of Sc2Ta2O5. Source: OQMD, functional PBE-GGA.

The structure in extended XYZ format:
```
9
Lattice="-6.620 2.034 0.656 -0.309 -2.091 3.362 1.180 3.171 2.080" Properties=species:S:1:pos:R:3 pbc="T T T"
Sc -3.310 1.017 0.328
Ta -0.897 0.949 2.853
O -1.743 -0.557 1.839
Sc 0.000 0.000 0.000
O -4.442 3.132 1.539
O -2.875 1.557 3.049
O -5.187 0.501 2.180
Ta -4.852 2.165 3.245
O -0.998 2.073 1.197
```

- Energy: -80.8 eV/cell
- Calculated density: 8.05 Mg/m³
- Size of the total moment: 0.54 μB per cell
- Space-group type: P4/mmm
- Crystal system: tetragonal
- Energy relative to the lowest polymorph listed for this composition: 62 meV per atom

=====

An optimized crystal structure of BaPrO3. Source: OQMD, functional PBE-GGA.

The structure in extended XYZ format:
```
5
Lattice="-4.148 0.210 1.859 -1.349 -3.469 -2.618 1.296 -2.938 3.225" Properties=species:S:1:pos:R:3 pbc="T T T"
O -2.749 -1.629 -0.379
O -0.026 -3.203 0.303
Ba 0.000 0.000 0.000
Pr -2.101 -3.098 1.233
O -1.426 -1.364 2.542
```

- Energy: -33.9 eV/cell
- Calculated density: 5.75 Mg/m³
- Size of the total moment: 1.00 μB per cell
- Space-group type: Pm-3m
- Crystal system: cubic

=====

An optimized crystal structure of PrEr2Tl2Zn3Cd. Source: OQMD, functional PBE-GGA.

The structure in extended XYZ format:
```
9
Lattice="-0.778 0.586 4.473 0.585 -7.232 1.049 5.856 4.387 0.444" Properties=species:S:1:pos:R:3 pbc="T T T"
Tl 3.716 0.875 2.874
Er 3.061 -5.344 1.232
Er 6.079 1.308 0.886
Cd 0.080 -0.036 0.019
Zn 4.709 -3.555 3.627
Zn 1.107 -0.367 2.583
Pr 3.691 -1.630 0.855
Tl 1.906 -3.115 3.082
Zn 5.916 -0.894 3.488
```

- Energy: -25.9 eV/cell
- Calculated density: 9.41 Mg/m³
- Size of the total moment: 0.01 μB per cell
- Space-group type: Amm2
- Crystal system: orthorhombic

=====

An optimized crystal structure of Be2AgSb. Source: OQMD, functional PBE-GGA.

The structure in extended XYZ format:
```
4
Lattice="0.000 3.226 3.226 3.226 0.000 3.226 3.226 3.226 0.000" Properties=species:S:1:pos:R:3 pbc="T T T"
Ag 1.613 1.613 1.613
Be 0.000 0.000 0.000
Be 4.839 4.839 4.839
Sb 3.226 3.226 3.226
```

- Energy: -11.5 eV/cell
- Calculated density: 6.12 Mg/m³
- Space-group type: F-43m
- Crystal system: cubic

=====

An optimized crystal structure of NaGdBeSe3. Source: OQMD, functional PBE-GGA.

The structure in extended XYZ format:
```
12
Lattice="1.980 -6.730 0.000 1.980 6.730 0.000 0.000 0.000 10.964" Properties=species:S:1:pos:R:3 pbc="T T T"
Be 1.980 6.249 2.741
Se 1.980 -4.913 10.017
Na 1.980 -3.323 2.741
Na 1.980 3.323 8.223
Se 1.980 4.913 0.947
Se 1.980 -4.913 6.429
Se 1.980 -0.931 8.223
Se 1.980 4.913 4.535
Be 1.980 -6.249 8.223
Gd 1.980 0.000 5.482
Gd 1.980 0.000 0.000
Se 1.980 0.931 2.741
```

- Energy: -56.3 eV/cell
- Calculated density: 4.84 Mg/m³
- Size of the total moment: 0.00 μB per cell
- Space-group type: Cmcm
- Crystal system: orthorhombic

=====

An optimized crystal structure of WC2Br4. Source: OQMD, functional PBE-GGA.

The structure in extended XYZ format:
```
7
Lattice="3.464 0.000 0.000 -1.732 3.000 0.000 0.000 0.000 15.955" Properties=species:S:1:pos:R:3 pbc="T T T"
Br 1.732 1.000 9.716
C 1.732 1.000 13.098
Br 0.000 2.000 13.996
Br 0.000 2.000 6.239
C 0.000 2.000 2.856
Br 1.732 1.000 1.959
W 0.000 0.000 7.977
```

- Energy: -26.3 eV/cell
- Calculated density: 5.28 Mg/m³
- Size of the total moment: 0.03 μB per cell
- Space-group type: P-3m1
- Crystal system: trigonal

=====

An optimized crystal structure of PrTcAsO. Source: OQMD, functional PBE-GGA.

The structure in extended XYZ format:
```
8
Lattice="4.412 0.000 0.000 0.000 6.264 0.000 0.000 0.000 6.089" Properties=species:S:1:pos:R:3 pbc="T T T"
Pr 0.000 4.848 5.599
Tc 2.206 3.796 3.312
O 2.206 2.105 2.243
Tc 2.206 2.468 0.267
O 2.206 4.159 5.288
Pr 0.000 1.416 2.554
As 0.000 4.663 2.571
As 0.000 1.601 5.615
```

- Energy: -58.2 eV/cell
- Calculated density: 6.51 Mg/m³
- Size of the total moment: 0.00 μB per cell
- Space-group type: Pmc2_1
- Crystal system: orthorhombic
- Energy relative to the lowest polymorph listed for this composition: 628 meV per atom

=====

An optimized crystal structure of Li4InSnPd2. Source: OQMD, functional PBE-GGA.

The structure in extended XYZ format:
```
8
Lattice="4.498 0.000 0.000 0.000 4.498 0.000 0.000 0.000 6.311" Properties=species:S:1:pos:R:3 pbc="T T T"
Li 2.249 0.000 4.730
In 0.000 0.000 3.155
Li 2.249 2.249 3.155
Li 0.000 2.249 1.581
Pd 2.249 0.000 1.543
Sn 2.249 2.249 0.000
Li 0.000 0.000 0.000
Pd 0.000 2.249 4.768
```

- Energy: -29.1 eV/cell
- Calculated density: 6.17 Mg/m³
- Space-group type: P-4m2
- Crystal system: tetragonal